1.
Material: MnHgRu2
Method: DFT, PBE
State: relaxed

Calculated values
SG: Cmmm
M_tot (μB/cell): 2.5
Mass density (g/cm3): 12.11
Calculated volume (Å³ per atom): 15.68
Formation enthalpy at 0 K (meV/atom): 476
E_tot (eV per atom): -6.530

a b c (Å): 2.766 2.766 9.064
angles (deg): 90.00 90.00 115.26
Atoms (fractional coordinates):
1 Hg 0.500 0.500 0.250
2 Mn 0.500 0.500 0.750
3 Ru 0.000 0.000 0.529
4 Ru 0.000 0.000 0.971

2.
Material: EuSc2Ag
Method: DFT, PBE
State: relaxed

Calculated values
SG: R-3m
M_tot (μB/cell): 7.4
E above lowest polymorph (eV/atom): 0.2270
Mass density (g/cm3): 5.59
Calculated volume (Å³ per atom): 25.99
Formation enthalpy at 0 K (meV/atom): 218
E_tot (eV per atom): -6.229

a b c (Å): 3.309 3.309 11.132
angles (deg): 81.45 81.45 60.00
Atoms (fractional coordinates):
1 Sc 0.902 0.902 0.295
2 Sc 0.098 0.098 0.705
3 Ag 0.500 0.500 0.500
4 Eu 0.000 0.000 0.000

3.
Material: PmDySi2Ni2
Method: DFT, PBE
State: relaxed

Calculated values
SG: P-3m1
M_tot (μB/cell): 0.0
Uncorrected formation energy (kJ/mol of formula units): -441
Mass density (g/cm3): 7.09
Calculated volume (Å³ per atom): 18.78
E_tot (eV per atom): -6.055

a b c (Å): 3.988 3.988 8.179
angles (deg): 90.00 90.00 120.00
Atoms (fractional coordinates):
1 Si 0.667 0.333 0.744
2 Si 0.333 0.667 0.256
3 Ni 0.333 0.667 0.741
4 Ni 0.667 0.333 0.259
5 Dy 0.000 0.000 0.500
6 Pm 0.000 0.000 0.000

4.
Material: Co2BRh2
Method: DFT, PBE
State: relaxed

Calculated values
SG: P4/mbm
M_tot (μB/cell): 5.5
Mass density (g/cm3): 9.60
Calculated volume (Å³ per atom): 11.58
Formation enthalpy at 0 K (meV/atom): 133
E_tot (eV per atom): -6.985

a b c (Å): 5.224 5.224 4.243
angles (deg): 90.00 90.00 90.00
Atoms (fractional coordinates):
1 Rh 0.672 0.828 0.500
2 Rh 0.828 0.328 0.500
3 Rh 0.328 0.172 0.500
4 Rh 0.172 0.672 0.500
5 Co 0.153 0.347 0.000
6 Co 0.653 0.153 0.000
7 Co 0.347 0.847 0.000
8 Co 0.847 0.653 0.000
9 B 0.500 0.500 0.000
10 B 0.000 0.000 0.000

5.
Material: Pm2NdWN4
Method: DFT, PBE
State: relaxed

Calculated values
SG: Cmcm
M_tot (μB/cell): 0.0
Uncorrected formation energy (kJ/mol of formula units): -759
Mass density (g/cm3): 8.64
Calculated volume (Å³ per atom): 16.19
E_tot (eV per atom): -8.549

a b c (Å): 3.477 6.291 12.323
angles (deg): 90.00 90.00 106.04
Atoms (fractional coordinates):
1 Pm 0.631 0.262 0.038
2 Pm 0.369 0.738 0.962
3 Pm 0.369 0.738 0.538
4 Pm 0.631 0.262 0.462
5 N 0.266 0.533 0.370
6 N 0.266 0.533 0.130
7 N 0.000 0.000 0.000
8 N 0.000 0.000 0.500
9 N 0.569 0.138 0.250
10 N 0.734 0.467 0.630
11 N 0.734 0.467 0.870
12 N 0.431 0.862 0.750
13 W 0.168 0.335 0.250
14 W 0.832 0.665 0.750
15 Nd 0.908 0.816 0.250
16 Nd 0.092 0.184 0.750

6.
Material: Dy3Pd5Se12
Method: DFT, PBE
State: relaxed

Calculated values
SG: Ia-3d
M_tot (μB/cell): 0.0
Uncorrected formation energy (kJ/mol of formula units): -1387
Mass density (g/cm3): 6.71
Calculated volume (Å³ per atom): 24.34
E_tot (eV per atom): -4.798

a b c (Å): 13.625 13.625 13.625
angles (deg): 109.47 109.47 109.47
Atoms (fractional coordinates):
1 Dy 0.250 0.625 0.875
2 Dy 0.625 0.250 0.375
3 Dy 0.125 0.250 0.875
4 Dy 0.125 0.875 0.750
5 Dy 0.625 0.375 0.750
6 Dy 0.375 0.750 0.625
7 Dy 0.750 0.375 0.125
8 Dy 0.250 0.125 0.375
9 Dy 0.375 0.625 0.250
10 Dy 0.875 0.125 0.250
11 Dy 0.875 0.750 0.125
12 Dy 0.750 0.875 0.625
13 Pd 0.125 0.750 0.375
14 Pd 0.375 0.250 0.125
15 Pd 0.750 0.125 0.875
16 Pd 0.500 0.000 0.000
17 Pd 0.375 0.125 0.750
18 Pd 0.250 0.875 0.125
19 Pd 0.750 0.625 0.375
20 Pd 0.000 0.500 0.500
21 Pd 0.000 0.500 0.000
22 Pd 0.625 0.875 0.250
23 Pd 0.250 0.375 0.625
24 Pd 0.500 0.500 0.000
25 Pd 0.875 0.625 0.750
26 Pd 0.125 0.375 0.250
27 Pd 0.000 0.000 0.500
28 Pd 0.875 0.250 0.625
29 Pd 0.500 0.000 0.500
30 Pd 0.500 0.500 0.500
31 Pd 0.625 0.750 0.875
32 Pd 0.000 0.000 0.000
33 Se 0.209 0.670 0.081
34 Se 0.081 0.170 0.209
35 Se 0.372 0.961 0.791
36 Se 0.089 0.919 0.128
37 Se 0.670 0.461 0.589
38 Se 0.872 0.581 0.911
39 Se 0.872 0.291 0.461
40 Se 0.589 0.628 0.419
41 Se 0.539 0.330 0.911
42 Se 0.709 0.581 0.170
43 Se 0.961 0.372 0.291
44 Se 0.039 0.628 0.709
45 Se 0.911 0.081 0.872
46 Se 0.461 0.670 0.089
47 Se 0.919 0.089 0.628
48 Se 0.291 0.419 0.830
49 Se 0.039 0.411 0.830
50 Se 0.128 0.709 0.539
51 Se 0.291 0.872 0.961
52 Se 0.911 0.830 0.539
53 Se 0.791 0.461 0.372
54 Se 0.919 0.830 0.791
55 Se 0.628 0.589 0.919
56 Se 0.330 0.539 0.411
57 Se 0.411 0.039 0.330
58 Se 0.170 0.081 0.709
59 Se 0.128 0.419 0.089
60 Se 0.419 0.291 0.330
61 Se 0.539 0.209 0.128
62 Se 0.581 0.872 0.411
63 Se 0.411 0.372 0.581
64 Se 0.830 0.919 0.291
65 Se 0.089 0.170 0.461
66 Se 0.581 0.709 0.670
67 Se 0.670 0.209 0.581
68 Se 0.419 0.128 0.589
69 Se 0.791 0.330 0.919
70 Se 0.830 0.911 0.039
71 Se 0.589 0.961 0.670
72 Se 0.081 0.911 0.372
73 Se 0.461 0.791 0.872
74 Se 0.170 0.089 0.961
75 Se 0.209 0.539 0.628
76 Se 0.961 0.589 0.170
77 Se 0.628 0.039 0.209
78 Se 0.330 0.791 0.419
79 Se 0.709 0.128 0.039
80 Se 0.372 0.411 0.081

7.
Material: Zr2MnAs
Method: DFT, PBE
State: relaxed

Calculated values
SG: P4mm
M_tot (μB/cell): 3.0
Mass density (g/cm3): 6.83
Calculated volume (Å³ per atom): 18.97
Formation enthalpy at 0 K (meV/atom): -313
E_tot (eV per atom): -8.042

a b c (Å): 3.581 3.581 5.918
angles (deg): 90.00 90.00 90.00
Atoms (fractional coordinates):
1 Zr 0.000 0.000 0.980
2 Zr 0.500 0.500 0.280
3 As 0.000 0.000 0.494
4 Mn 0.500 0.500 0.746

8.
Material: LiTlSnPb
Method: DFT, PBE
State: relaxed

Calculated values
SG: F-43m
M_tot (μB/cell): 0.0
E above lowest polymorph (eV/atom): 0.0272
Mass density (g/cm3): 8.16
Calculated volume (Å³ per atom): 27.35
Formation enthalpy at 0 K (meV/atom): -94
E_tot (eV per atom): -3.092

a b c (Å): 5.368 5.368 5.368
angles (deg): 60.00 60.00 60.00
Atoms (fractional coordinates):
1 Pb 0.750 0.750 0.750
2 Li 0.500 0.500 0.500
3 Sn 0.000 0.000 0.000
4 Tl 0.250 0.250 0.250

9.
Material: Pr2PaRu
Method: DFT, PBE
State: relaxed

Calculated values
SG: R-3m
M_tot (μB/cell): 0.0
Mass density (g/cm3): 9.59
Calculated volume (Å³ per atom): 26.56
Formation enthalpy at 0 K (meV/atom): 418
E_tot (eV per atom): -6.665

a b c (Å): 3.352 3.352 11.089
angles (deg): 81.31 81.31 60.00
Atoms (fractional coordinates):
1 Ru 0.500 0.500 0.500
2 Pr 0.899 0.899 0.302
3 Pr 0.101 0.101 0.698
4 Pa 0.000 0.000 0.000

10.
Material: GaP2PtO
Method: DFT, PBE
State: relaxed

Calculated values
SG: P4/mmm
M_tot (μB/cell): 0.0
Uncorrected formation energy (kJ/mol of formula units): 218
E above lowest polymorph (eV/atom): 0.0484
Mass density (g/cm3): 7.01
Calculated volume (Å³ per atom): 16.24
E_tot (eV per atom): -4.517

a b c (Å): 4.826 4.826 3.487
angles (deg): 90.00 90.00 90.00
Atoms (fractional coordinates):
1 P 0.500 0.000 0.000
2 P 0.000 0.500 0.000
3 O 0.000 0.000 0.500
4 Ga 0.000 0.000 0.000
5 Pt 0.500 0.500 0.500

11.
Material: BeAsCl2
Method: DFT, PBE
State: relaxed

Calculated values
SG: C2/m
M_tot (μB/cell): 0.0
Uncorrected formation energy (kJ/mol of formula units): 88
E above lowest polymorph (eV/atom): 0.7544
Mass density (g/cm3): 3.32
Calculated volume (Å³ per atom): 19.35
E_tot (eV per atom): -2.790

a b c (Å): 4.767 4.767 4.566
angles (deg): 66.76 66.76 103.84
Atoms (fractional coordinates):
1 As 0.500 0.000 0.500
2 Be 0.000 0.500 0.500
3 Cl 0.000 0.000 0.000
4 Cl 0.500 0.500 0.000

12.
Material: Hf2PaHg
Method: DFT, PBE
State: relaxed

Calculated values
SG: R3m
M_tot (μB/cell): 0.0
E above lowest polymorph (eV/atom): 0.0000
Mass density (g/cm3): 14.27
Calculated volume (Å³ per atom): 22.93
Formation enthalpy at 0 K (meV/atom): -21
E_tot (eV per atom): -7.447

a b c (Å): 3.213 3.213 10.427
angles (deg): 81.14 81.14 60.00
Atoms (fractional coordinates):
1 Pa 0.500 0.500 0.501
2 Hf 0.253 0.253 0.242
3 Hf 0.081 0.081 0.758
4 Hg 0.667 0.667 0.000